Computed, not measured: an optimized crystal structure of PrEuInSn at the GGA-PBE level of DFT.

Properties
Calculated formation energy: -53 kJ/mol of atoms
Total DFT energy (no corrections): -6.00 eV per atom
Density: 7.302 g/cm3
Space-group type: F-43m (216)

Unit cell a=5.5321 b=5.5321 c=5.5321 alpha=60.00 beta=60.00 gamma=60.00
Last column: magnetic moment on the atom in μB.
Atoms (fractional coordinates):
In  0.7500  0.7500  0.7500  0.01
Pr  0.5000  0.5000  0.5000  0.07
Sn  0.2500  0.2500  0.2500  -0.02
Eu  0.0000  0.0000  0.0000  6.85